[1]
The following is a DFT calculation (PBE) of an optimized crystal structure of ScAuF2.

a = 4.327 Å, b = 4.327 Å, c = 4.327 Å
α = 60.00°, β = 60.00°, γ = 60.00°
Sites, in units of the cell vectors:
Sc1 0.000 0.000 0.000
Au1 0.500 0.500 0.500
F1 0.250 0.250 0.250
F2 0.750 0.750 0.750

Results
Its uncorrected formation energy is -157.72 kJ per mole of atoms. The calculation puts the electronic total energy at -4.972 eV per atom. For the excess energy over the best structure of this formula in the dataset, the calculation gives 222 kJ/mol of formula units. As for the space group: Fm-3m, No. 225.



[2]
The following is a DFT calculation (PBE) of an optimized crystal structure of ScAu3F.

a = 5.199 Å, b = 5.199 Å, c = 5.199 Å
α = 90.00°, β = 90.00°, γ = 90.00°
Sites, in units of the cell vectors:
Sc1 0.000 0.000 0.000
Au1 0.000 0.500 0.000
Au2 0.000 0.000 0.500
Au3 0.500 0.000 0.000
F1 0.500 0.500 0.500

Results
Its uncorrected formation energy is 37.23 kJ per mole of atoms. The calculation puts the electronic total energy at -3.221 eV per atom. For the excess energy over the best structure of this formula in the dataset, the calculation gives 139 kJ/mol of formula units. As for the space group: Pm-3m, No. 221.